PBE with a Hubbard U GaNiPO2, optimized geometry; total magnetic moment = 3.09 Bohr magnetons per cell; excess energy over the best structure of this formula in the dataset = 0.00 eV per formula unit
1.0
3.663 0.000 0.000
0.000 3.663 0.000
0.000 0.000 5.578
Ga Ni P O
1 1 1 2
Cartesian
0.000 0.000 0.000
1.832 1.832 2.789
0.000 0.000 2.789
0.000 1.832 0.000
1.832 0.000 0.000